No. 1
Here is Mn2RuBr at its PBEsol-relaxed geometry from Alexandria via LeMat-Bulk. Energies are from SCAN.

Its density of states at the Fermi level is 0.533 states/eV per atom. As for the total magnetization: 8.2 μB/f.u. The value obtained for the formation energy from raw total energies is -7.6 kJ/mol of atoms. For the density, the calculation gives 7.33 Mg/m³.

The structure belongs to space group Pmmm (No. 47); the cell edges are 3.0098, 3.0600 and 7.1580 Å and the angles 90.00°, 90.00° and 90.00°. The distinct sites, in fractional coordinates, are Mn at (0.0000, 0.0000, 0.2035), Ru at (0.5000, 0.5000, 0.0000) and Br at (0.5000, 0.0000, 0.5000).

No. 2
Here is MnRuBr at its PBEsol-relaxed geometry from Alexandria via LeMat-Bulk. Energies are from SCAN.

Its density of states at the Fermi level is 0.724 states/eV per atom. As for the total magnetization: 2.9 μB/f.u. The value obtained for the formation energy from raw total energies is 39.4 kJ/mol of atoms. For the density, the calculation gives 8.47 Mg/m³.

The structure belongs to space group I4mm (No. 107); the cell edges are 2.9763, 2.9763 and 10.4422 Å and the angles 90.00°, 90.00° and 90.00°. The distinct sites, in fractional coordinates, are Mn at (0.0000, 0.0000, 0.0000), Ru at (0.0000, 0.0000, 0.3667) and Br at (0.0000, 0.0000, 0.6806).

No. 3
Here is Mn2RuBr at its PBEsol-relaxed geometry from Alexandria via LeMat-Bulk. Energies are from SCAN.

Its density of states at the Fermi level is 0.351 states/eV per atom. As for the total magnetization: 8.6 μB/f.u. The value obtained for the formation energy from raw total energies is -2.2 kJ/mol of atoms. For the density, the calculation gives 7.42 Mg/m³.

The structure belongs to space group P4/mmm (No. 123); the cell edges are 3.0553, 3.0553 and 6.9706 Å and the angles 90.00°, 90.00° and 90.00°. The distinct sites, in fractional coordinates, are Mn at (0.0000, 0.0000, 0.2082), Ru at (0.5000, 0.5000, 0.0000) and Br at (0.5000, 0.5000, 0.5000).